A plane-wave DFT calculation with PBE was carried out for a relaxed structure of Cd2CuP.

## Properties
Energy of formation ... 0.282 eV/atom
Final energy ... -2.552 eV/atom
Calculated density ... 6.91 g/cm3
Density of states at the Fermi level ... 1.14 states/eV/cell

abc: 4.2014 4.2014 6.6715
angles: 100.17 100.17 41.60
Last column: nearest neighbours and their distance in Å.
Element x y z (fractional)
Cd  0.2420  0.2420  0.2430  3 Cu 2.70-2.82, 3 P 2.79-2.82, 2 Cd 2.98
Cd  0.7580  0.7580  0.7570  3 Cu 2.70-2.82, 3 P 2.79-2.82, 2 Cd 2.98
Cu  0.5000  0.5000  0.0000  6 Cd 2.70-2.82, 2 Cu 2.98
P  0.0000  0.0000  0.5000  6 Cd 2.79-2.82, 2 P 2.98